# 1
NpH2Se: relaxed, PBE.

Calculated values
- E_tot (eV per atom) = -6.326
- space-group type = R-3m (166)

Unit cell a=3.6962 b=3.6962 c=4.7934 alpha=67.32 beta=67.32 gamma=60.00
Last column: nearest neighbours and their distance in Å.
Atoms (fractional coordinates):
Np (0.0000, 0.0000, 0.0000)  6 H 2.18
H (0.2990, 0.2990, 0.1029)  3 Np 2.18, 3 H 2.31
H (0.7010, 0.7010, 0.8971)  3 Np 2.18, 3 H 2.31
Se (0.5000, 0.5000, 0.5000)  8 H 2.59-2.73

# 2
Nb3GaF: relaxed, PBE.

Calculated values
- raw formation energy (meV per atom) = -119.7
- space-group type = Pm-3m (221)

Unit cell a=4.3098 b=4.3098 c=4.3098 alpha=90.00 beta=90.00 gamma=90.00
Last column: nearest neighbours and their distance in Å.
Atoms (fractional coordinates):
Nb (0.0000, 0.5000, 0.0000)  2 F 2.15
Nb (0.0000, 0.0000, 0.5000)  2 F 2.15
Nb (0.5000, 0.0000, 0.0000)  2 F 2.15
Ga (0.5000, 0.5000, 0.5000)  12 Nb 3.05
F (0.0000, 0.0000, 0.0000)  6 Nb 2.15